The following is a DFT calculation (PBE-GGA) of TbYTm2 after structural relaxation.

As for the density of states at the Fermi level: 9.54 states/eV/f.u. As for the crystal system: cubic. The calculation puts the excess energy over the best structure of this formula in the dataset at 128.2 meV per atom.

The space group is Fm-3m (No. 225) and the conventional cell measures 7.967, 7.967 and 7.967 Å, with angles of 90.00, 90.00 and 90.00 degrees. The asymmetric unit holds Tb at (0.000, 0.000, 0.000), Y at (0.000, 0.000, 0.500) and Tm at (0.250, 0.250, 0.250).

=====

The following is a DFT calculation (PBE-GGA) of Tb2Y5Tm after structural relaxation.

As for the density of states at the Fermi level: 13.53 states/eV/f.u. As for the crystal system: triclinic. The calculation puts the excess energy over the best structure of this formula in the dataset at 115.2 meV per atom.

The space group is P-1 (No. 2) and the conventional cell measures 6.785, 9.375 and 9.465 Å, with angles of 60.32, 89.58 and 89.10 degrees. The asymmetric unit holds Tb at (0.078, 0.316, 0.060), Tb at (0.422, 0.625, 0.060), Y at (0.079, 0.060, 0.631), Y at (0.086, 0.611, 0.317), Y at (0.249, 0.668, 0.662), Y at (0.414, 0.073, 0.317), Y at (0.421, 0.309, 0.630) and Tm at (0.250, 0.994, 0.013).

=====

The following is a DFT calculation (PBE-GGA) of TbY2Tm after structural relaxation.

As for the density of states at the Fermi level: 5.37 states/eV/f.u. As for the crystal system: tetragonal. The calculation puts the excess energy over the best structure of this formula in the dataset at 22.1 meV per atom.

The space group is P4/mmm (No. 123) and the conventional cell measures 3.546, 3.546 and 10.053 Å, with angles of 90.00, 90.00 and 90.00 degrees. The asymmetric unit holds Tb at (0.000, 0.000, 0.000), Y at (0.500, 0.500, 0.252) and Tm at (0.000, 0.000, 0.500).

=====

The following is a DFT calculation (PBE-GGA) of TbY12Tm2 after structural relaxation.

As for the density of states at the Fermi level: 27.22 states/eV/f.u. The value obtained for the total energy is -5.99 eV/atom. As for the crystal system: monoclinic.

The space group is C2/m (No. 12) and the conventional cell measures 6.842, 10.938 and 26.047 Å, with angles of 90.00, 92.80 and 90.00 degrees. The asymmetric unit holds Tb at (0.249, 0.000, 0.000), Y at (0.014, 0.251, 0.071), Y at (0.145, 0.329, 0.447), Y at (0.161, 0.000, 0.446), Y at (0.183, 0.321, 0.665), Y at (0.194, 0.000, 0.649), Y at (0.212, 0.246, 0.801), Y at (0.224, 0.000, 0.873), Y at (0.227, 0.500, 0.872), Tm at (0.040, 0.500, 0.242) and Tm at (0.054, 0.000, 0.245).